## In3C4 (SCAN)

Data for a PBEsol-optimized structure of In3C4.

The calculation puts the formation energy from the elements at 213.8 kJ per mole of atoms.

The structure belongs to space group Pm-3m (No. 221); the cell edges are 4.6691, 4.6691 and 4.6691 Å and the angles 90.00°, 90.00° and 90.00°. The asymmetric unit holds In at (0.0000, 0.0000, 0.5000), C at (0.0000, 0.0000, 0.0000) and C at (0.0000, 0.5000, 0.5000).

---

## InIrPbC2 (SCAN)

Data for a PBEsol-optimized structure of InIrPbC2.

The calculation puts the formation energy from the elements at 120.5 kJ per mole of atoms.

The structure belongs to space group P4/mmm (No. 123); the cell edges are 3.9833, 3.9833 and 5.9345 Å and the angles 90.00°, 90.00° and 90.00°. The asymmetric unit holds In at (0.0000, 0.0000, 0.0000), Ir at (0.5000, 0.5000, 0.5000), Pb at (0.5000, 0.5000, 0.0000) and C at (0.0000, 0.5000, 0.5000).

---

## K2In2C (SCAN)

Data for a PBEsol-optimized structure of K2In2C.

The calculation puts the formation energy from the elements at 77.4 kJ per mole of atoms.

The structure belongs to space group I4/mmm (No. 139); the cell edges are 4.0643, 4.0643 and 19.5914 Å and the angles 90.00°, 90.00° and 90.00°. The asymmetric unit holds K at (0.0000, 0.0000, 0.0824), In at (0.0000, 0.5000, 0.2500) and C at (0.0000, 0.0000, 0.5000).

---

no.,spin magnetization (Bohr magnetons per cell)
1,0.0
2,0.0
3,5.6